Density functional theory data (GGA-PBE) for crystalline CsBa2LaPt at its relaxed geometry.

The value obtained for the magnetic moment is 0.00 μB/atom. For the electronic total energy, the calculation gives -3.40 eV/atom. For the formation energy, the calculation gives -0.27 eV/atom.

a b c (Å): 6.6427 6.6427 5.6911
angles (deg): 90.00 90.00 90.00
Atoms (fractional coordinates):
Cs: 0.5000 0.5000 0.5000
Ba: 0.0000 0.5000 0.0000
Ba: 0.5000 0.0000 0.0000
Pt: 0.0000 0.0000 0.0000
La: 0.0000 0.0000 0.5000